Entry from Alexandria: crystalline FeCoNO2 at its relaxed geometry (GGA+U).

## Properties
uncorrected energy: -5.507 eV/atom

Cell lengths 3.855, 3.855, 3.687 Å; angles 90.00, 90.00, 90.00 degrees
Atoms (fractional coordinates):
N  0.000  0.000  0.500
O  0.500  0.000  0.000
Fe  0.000  0.000  0.000
Co  0.500  0.500  0.500
O  0.000  0.500  0.000